The following is a PBE calculation of DyAl3Zn2 after structural relaxation, from Alexandria. Values from VASP.

The structure in Quantum ESPRESSO input format:
```
&SYSTEM
  ibrav = 0, nat = 6, ntyp = 3
/
ATOMIC_SPECIES
Dy 162.50 Dy.upf
Zn 65.41 Zn.upf
Al 26.98 Al.upf
CELL_PARAMETERS angstrom
5.4765 0.0000 0.0000
-2.7383 4.7428 0.0000
0.0000 0.0000 4.2152
ATOMIC_POSITIONS angstrom
Dy 0.0000 0.0000 2.1076
Zn 0.0000 3.1619 2.1079
Zn 2.7383 1.5809 2.1073
Al 2.7383 0.0000 0.0000
Al 1.3691 2.3714 0.0000
Al -1.3691 2.3714 0.0000
```

Summary:
uncorrected energy	-19.8	eV for the cell shown
space group	P6/mmm, No. 191
ΔE_f	-0.231	eV per atom
M_tot	0.0	μB per cell
volume	109	Å³/cell


The following is a PBE calculation of Li2B3C3 after structural relaxation, from Alexandria. Values from VASP.

The structure in Quantum ESPRESSO input format:
```
&SYSTEM
  ibrav = 0, nat = 16, ntyp = 3
/
ATOMIC_SPECIES
Li 6.94 Li.upf
B 10.81 B.upf
C 12.01 C.upf
CELL_PARAMETERS angstrom
-3.8643 0.6656 -6.0106
-2.8851 -1.8491 -6.3056
-3.5840 -2.2857 7.5885
ATOMIC_POSITIONS angstrom
Li -2.8049 -1.3127 1.8796
Li -0.0777 -0.0152 -0.1282
Li -7.4923 -2.1459 -6.5778
Li -2.1803 -0.3852 -3.9539
B -2.2605 -0.8198 -0.5153
B -6.7622 -1.6110 -8.7145
B -8.1076 -2.6625 -4.2157
B -4.4008 -1.1676 -4.6549
B -5.8841 -2.2766 -0.1248
B -3.6018 -1.8735 4.0156
C -2.8766 -1.7502 5.3716
C -7.3716 -1.6797 -10.1514
C -3.0464 -0.9696 -1.8470
C -5.2391 -1.3397 -5.9709
C -7.3586 -2.5306 -2.8542
C -5.1190 -2.1391 1.2431
```

Summary:
uncorrected energy	-105.8	eV for the cell shown
space group	Cm, No. 8
ΔE_f	-0.171	eV per atom
M_tot	0.0	μB per cell
volume	140	Å³/cell


The following is a PBE calculation of NpAlCuO6 after structural relaxation, from Alexandria. Values from VASP.

The structure in Quantum ESPRESSO input format:
```
&SYSTEM
  ibrav = 0, nat = 18, ntyp = 4
/
ATOMIC_SPECIES
O 16.00 O.upf
Al 26.98 Al.upf
Cu 63.55 Cu.upf
Np 237.00 Np.upf
CELL_PARAMETERS angstrom
5.1617 0.0000 0.0000
-2.5809 4.4702 0.0000
0.0000 0.0000 8.8450
ATOMIC_POSITIONS angstrom
O 0.8324 1.5839 7.6643
O 1.7484 2.8863 1.1808
O -1.6254 2.9573 7.6643
O 4.2062 1.5129 1.1808
O 3.4133 2.8863 3.2417
O 0.7929 4.3992 7.6643
O 3.3738 0.0710 3.2417
O -0.7929 4.3992 5.6033
O 1.6254 2.9573 5.6033
O 0.9555 1.5129 3.2417
O -0.8324 1.5839 5.6033
O 1.7879 0.0710 1.1808
Al 0.0000 2.9801 6.6338
Al 2.5809 1.4901 2.2113
Cu 0.0000 0.0000 0.0000
Cu 0.0000 0.0000 4.4225
Np 2.5809 1.4901 6.6338
Np 0.0000 2.9801 2.2113
```

Summary:
uncorrected energy	-137.6	eV for the cell shown
formation energy from raw total energies	-2031	meV per atom
space group	P-31c, No. 163
M_tot	2.0	μB per cell
volume	204	Å³/cell


The following is a PBE calculation of Pr6SmTl4 after structural relaxation, from Alexandria. Values from VASP.

The structure in Quantum ESPRESSO input format:
```
&SYSTEM
  ibrav = 0, nat = 11, ntyp = 3
/
ATOMIC_SPECIES
Pr 140.91 Pr.upf
Sm 150.36 Sm.upf
Tl 204.38 Tl.upf
CELL_PARAMETERS angstrom
-7.1651 -4.2622 0.0954
6.6763 -2.4362 4.3596
0.8500 7.3466 3.8494
ATOMIC_POSITIONS angstrom
Pr 4.2913 5.3602 5.7822
Pr -3.1575 1.5422 1.9724
Pr -3.7458 -2.1869 0.8429
Pr -0.2444 -3.3492 2.2275
Pr 0.8544 0.7130 3.9139
Pr 6.4876 1.6724 5.9745
Sm 0.0000 0.0000 0.0000
Tl 3.1586 2.1968 6.0536
Tl 4.2065 0.5047 3.6245
Tl 2.2852 3.7308 3.4562
Tl -1.7629 -0.8737 3.3791
```

Summary:
uncorrected energy	-43.7	eV for the cell shown
space group	I-42m, No. 121
ΔE_f	-0.076	eV per atom
M_tot	0.0	μB per cell
volume	395	Å³/cell


The following is a PBE calculation of CsCuSe after structural relaxation, from Alexandria. Values from VASP.

The structure in Quantum ESPRESSO input format:
```
&SYSTEM
  ibrav = 0, nat = 3, ntyp = 3
/
ATOMIC_SPECIES
Se 78.96 Se.upf
Cu 63.55 Cu.upf
Cs 132.91 Cs.upf
CELL_PARAMETERS angstrom
4.2192 -0.6663 -0.6104
-1.0602 7.2391 0.0177
-1.1328 3.4739 3.6113
ATOMIC_POSITIONS angstrom
Se 0.7785 7.2536 2.2645
Cu 2.7353 6.4294 1.4384
Cs 0.1546 3.4933 2.0838
```

Summary:
uncorrected energy	-10.2	eV for the cell shown
formation energy from raw total energies	-604	meV per atom
space group	Amm2, No. 38
M_tot	0.0	μB per cell
volume	105	Å³/cell


The following is a PBE calculation of LiBe4Re after structural relaxation, from Alexandria. Values from VASP.

The structure in Quantum ESPRESSO input format:
```
&SYSTEM
  ibrav = 0, nat = 6, ntyp = 3
/
ATOMIC_SPECIES
Be 9.01 Be.upf
Li 6.94 Li.upf
Re 186.21 Re.upf
CELL_PARAMETERS angstrom
0.0000 3.0691 3.0691
3.0691 0.0000 3.0691
3.0691 3.0691 0.0000
ATOMIC_POSITIONS angstrom
Be 3.8502 2.2879 3.8502
Be 2.2879 3.8502 3.8502
Be 3.8502 3.8502 2.2879
Be 2.2879 2.2879 2.2879
Li 4.6036 4.6036 4.6036
Re 0.0000 0.0000 0.0000
```

Summary:
uncorrected energy	-29.1	eV for the cell shown
space group	F-43m, No. 216
ΔE_f	0.028	eV per atom
M_tot	0.0	μB per cell
volume	58	Å³/cell